A geometry-optimized As2Pb6SBr3 structure. Source: Alexandria, functional PBE.

a = 7.5180 Å, b = 13.0800 Å, c = 8.0503 Å
α = 90.00°, β = 108.36°, γ = 90.00°
Last column: nearest neighbours and their distance in Å.
Space group C2/m (No. 12)
One atom of each set of equivalent atoms:
As 0.0000 0.1657 0.0000 (multiplicity 4)  6 Pb 2.97-2.98
Pb 0.2336 0.0000 0.2129 (multiplicity 4)  2 As 2.97, 1 S 3.02, 1 Br 3.31
Pb 0.2390 0.3314 0.2108 (multiplicity 8)  2 As 2.97-2.98, 1 S 3.01, 1 Br 3.28
S 0.0000 0.5000 0.0000 (multiplicity 2)  6 Pb 3.01-3.02
Br 0.0000 0.0000 0.5000 (multiplicity 2)  6 Pb 3.31-3.35
Br 0.0000 0.3281 0.5000 (multiplicity 4)  6 Pb 3.28-3.39

Summary:
Crystal system: monoclinic
Calculated total energy: -3.816 eV per atom

A geometry-optimized La4Pm5Pr structure. Source: Alexandria, functional PBE.

a = 10.6871 Å, b = 10.6871 Å, c = 6.1471 Å
α = 90.00°, β = 90.00°, γ = 90.00°
Last column: nearest neighbours and their distance in Å.
Space group P4/nmm (No. 129, origin choice 2)
One atom of each set of equivalent atoms:
La 0.0493 0.7500 0.1309 (multiplicity 8)  1 Pm 3.12, 1 Pr 3.20, 2 La 3.43
Pm 0.0893 0.0893 0.3442 (multiplicity 8)  3 Pm 3.31-3.43, 2 La 3.70
Pm 0.2500 0.7500 0.5000 (multiplicity 2)  4 La 3.12
Pr 0.2500 0.2500 0.8368 (multiplicity 2)  4 La 3.20

Summary:
Crystal system: tetragonal
E_form: 0.150 eV per atom
Calculated total energy: -4.674 eV per atom

A geometry-optimized La8PmMg2 structure. Source: Alexandria, functional PBE.

a = 9.1093 Å, b = 16.3731 Å, c = 6.0290 Å
α = 90.00°, β = 121.05°, γ = 90.00°
Last column: nearest neighbours and their distance in Å.
Space group C2/m (No. 12)
One atom of each set of equivalent atoms:
La 0.0000 0.2077 0.0000 (multiplicity 4)  1 Pm 3.40, 2 Mg 3.44, 6 La 3.67-3.77
La 0.0819 0.5000 0.7942 (multiplicity 4)  3 La 3.06-3.42, 1 Pm 3.34
La 0.2156 0.1191 0.6636 (multiplicity 8)  6 La 3.37-3.77, 2 Mg 3.42-3.54
Pm 0.0000 0.0000 0.0000 (multiplicity 2)  4 La 3.34-3.40
Mg 0.0000 0.3092 0.5000 (multiplicity 4)  8 La 3.42-3.54

Summary:
Crystal system: monoclinic
E_form: 0.089 eV per atom
Calculated total energy: -4.216 eV per atom

A geometry-optimized Te2RhW structure. Source: Alexandria, functional PBE.

a = 3.5564 Å, b = 3.7596 Å, c = 13.6632 Å
α = 90.00°, β = 90.00°, γ = 90.00°
Last column: nearest neighbours and their distance in Å.
Space group Imm2 (No. 44)
One atom of each set of equivalent atoms:
Te 0.0000 0.0000 0.0000 (multiplicity 2)  4 W 2.91
Te 0.0000 0.5000 0.2526 (multiplicity 2)  4 Rh 2.59, 2 W 2.78
Rh 0.0000 0.5000 0.7415 (multiplicity 2)  4 Te 2.59, 2 W 2.83
W 0.0000 0.0000 0.4025 (multiplicity 2)  6 Te 2.78-2.91, 2 Rh 2.83

Summary:
Crystal system: orthorhombic
Calculated total energy: -6.316 eV per atom

A geometry-optimized Tl2InFeCu structure. Source: Alexandria, functional PBE.

a = 5.7531 Å, b = 5.7531 Å, c = 4.8786 Å
α = 90.00°, β = 90.00°, γ = 90.00°
Last column: nearest neighbours and their distance in Å.
Space group P4/mmm (No. 123)
One atom of each set of equivalent atoms:
Tl 0.0000 0.5000 0.0000 (multiplicity 2)  2 In 2.88
In 0.0000 0.0000 0.0000 (multiplicity 1)  2 Cu 2.44
Fe 0.5000 0.5000 0.5000 (multiplicity 1)  8 Tl 3.77, 4 Cu 4.07
Cu 0.0000 0.0000 0.5000 (multiplicity 1)  2 In 2.44

Summary:
Crystal system: tetragonal
E_form: 1.117 eV per atom
Calculated total energy: -2.889 eV per atom

A geometry-optimized Cs3CeP2S8 structure. Source: Alexandria, functional PBE.

a = 7.2225 Å, b = 7.2225 Å, c = 9.8525 Å
α = 90.00°, β = 90.00°, γ = 120.00°
Last column: nearest neighbours and their distance in Å.
Space group P-3m1 (No. 164)
One atom of each set of equivalent atoms:
Cs 0.0000 0.0000 0.0000 (multiplicity 1)  12 S 3.91-4.20
Cs 0.3333 0.6667 0.6876 (multiplicity 2)  7 S 3.61-3.62
Ce 0.0000 0.0000 0.5000 (multiplicity 1)  6 S 2.79
P 0.3333 0.6667 0.2539 (multiplicity 2)  4 S 1.97-2.09
S 0.1769 0.3538 0.3276 (multiplicity 6)  1 P 2.09
S 0.3333 0.6667 0.0536 (multiplicity 2)  1 P 1.97

Summary:
Crystal system: trigonal
Calculated total energy: -4.685 eV per atom

A geometry-optimized InICl2 structure. Source: Alexandria, functional PBE.

a = 3.6048 Å, b = 3.6048 Å, c = 37.2826 Å
α = 90.00°, β = 90.00°, γ = 120.00°
Last column: nearest neighbours and their distance in Å.
Space group R-3m (No. 166, hexagonal axes)
One atom of each set of equivalent atoms:
In 0.0000 0.0000 0.0000 (multiplicity 3)  2 Cl 2.36
I 0.0000 0.0000 0.5000 (multiplicity 3)  6 I 3.60
Cl 0.0000 0.0000 0.0632 (multiplicity 6)  1 In 2.36

Summary:
Crystal system: trigonal
Calculated total energy: -2.116 eV per atom

A geometry-optimized SrV3Cu structure. Source: Alexandria, functional PBE.

a = 4.4883 Å, b = 4.4883 Å, c = 4.4883 Å
α = 90.00°, β = 90.00°, γ = 90.00°
Last column: nearest neighbours and their distance in Å.
Space group Pm-3m (No. 221)
One atom of each set of equivalent atoms:
Sr 0.0000 0.0000 0.0000 (multiplicity 1)  6 V 2.24
V 0.0000 0.0000 0.5000 (multiplicity 3)  2 Sr 2.24
Cu 0.5000 0.5000 0.5000 (multiplicity 1)  12 V 3.17

Summary:
Crystal system: cubic
E_form: 2.546 eV per atom
Calculated total energy: -4.081 eV per atom